12
Lattice="5.7674 -0.0345 1.9220 0.0470 8.7544 0.0156 -0.0047 -0.0172 9.6281" Properties=species:S:1:pos:R:3 comment="Ba6NaTl5 (PBE, relaxed)" m_tot_mub_per_atom=0.000 delta_e_f_mev_per_atom=-350 pbc="T T T"
Na 0.0000 0.0000 0.0000
Tl 3.8431 4.3427 7.7744
Tl 1.9293 -0.0172 3.8249
Tl 0.0235 4.3772 0.0078
Tl 3.8334 -0.0345 7.7253
Tl 1.9665 4.3600 3.7913
Ba 4.8123 6.4831 4.9045
Ba 4.7893 2.2024 4.8968
Ba 2.8960 2.2740 0.9651
Ba 2.9183 6.4459 0.9726
Ba 1.0203 6.5003 6.6690
Ba 0.9973 2.2196 6.6613

6
Lattice="-4.8711 3.7116 1.7756 -4.6877 1.2972 -4.1230 -5.7896 -2.5307 0.8559" Properties=species:S:1:pos:R:3 comment="SrLi4Ac (PBE, relaxed)" m_tot_mub_per_atom=0.000 delta_e_f_mev_per_atom=73 pbc="T T T"
Sr -3.8371 0.6195 -0.3729
Ac 0.0000 0.0000 0.0000
Li -6.7013 2.8087 -1.3580
Li -7.2503 0.9014 1.1228
Li -9.5860 1.5478 -0.9316
Li -7.1589 -0.3016 -1.8163

8
Lattice="-3.1892 -1.0851 -2.4758 4.6759 -2.1553 -5.0787 -1.5168 -5.5529 4.3876" Properties=species:S:1:pos:R:3 comment="Pr2NdThP4 (PBE, relaxed)" m_tot_mub_per_atom=0.000 delta_e_f_mev_per_atom=-1562 pbc="T T T"
Pr -2.3530 -3.3190 0.9559
Pr 1.5796 -3.8541 -0.3456
Nd 0.0000 0.0000 0.0000
Th 0.7433 -1.6202 -3.7773
P -0.7904 -2.4479 -1.4388
P 0.7603 -6.3454 -1.7281
P 0.0428 -4.7448 2.0244
P 3.1163 -2.9634 -2.7155

15
Lattice="8.7766 0.0003 0.0003 -4.3881 7.6004 -0.0269 0.0001 -5.0415 7.2782" Properties=species:S:1:pos:R:3 comment="Pr3DyEr3Te8 (PBE, relaxed)" m_tot_mub_per_atom=0.000 raw_formation_energy_kj_per_mol_atoms=-134 pbc="T T T"
Pr 0.0000 0.0000 0.0000
Pr -2.1940 3.8002 -0.0135
Pr 2.1943 3.8004 -0.0133
Dy 0.0000 -2.5208 3.6391
Er 4.3883 -2.5206 3.6393
Er 2.1943 1.2796 3.6258
Er -2.1940 1.2795 3.6256
Te 0.0003 2.5402 1.9266
Te 4.3883 0.0190 5.3250
Te 4.3884 2.4597 1.8711
Te 0.0002 0.0995 5.3805
Te 6.5131 -1.2199 1.8844
Te -2.1245 3.7791 5.3672
Te 2.2638 -1.2198 1.8842
Te 2.1247 3.7790 5.3674

19
Lattice="6.0262 0.0158 0.0223 -1.4785 5.8420 0.0223 -1.4785 -1.9044 5.5229" Properties=species:S:1:pos:R:3 comment="AcCo12B6 (PBE, relaxed)" m_tot_mub_per_atom=0.359 delta_e_f_mev_per_atom=-327 pbc="T T T"
Ac 0.0000 0.0000 0.0000
Co 4.2777 -0.1529 2.7837
Co 3.3038 2.1294 2.9987
Co 1.2439 1.6023 4.5085
Co 1.8253 0.2249 2.5687
Co 1.8253 2.3511 1.0589
Co -0.2346 1.8240 2.5687
Co -1.2085 1.2748 4.7943
Co 1.5346 4.8082 0.7731
Co -1.2085 4.1063 2.7837
Co 4.2777 2.6786 0.7731
Co 1.5346 -0.8548 4.7943
Co 1.2439 3.7285 2.9987
B 3.3272 0.9165 1.2906
B 0.0631 0.0813 3.6831
B 0.0631 3.4505 1.2906
B 3.0061 3.8721 1.8843
B -0.2580 3.0369 4.2768
B 3.0061 0.5029 4.2768

5
Lattice="4.0610 0.0000 0.0000 0.0000 4.0610 0.0000 0.0000 0.0000 5.8624" Properties=species:S:1:pos:R:3 comment="KOsIO2 (PBE, relaxed)" relative_energy_mev_per_atom=0.0 m_tot_mub_per_atom=0.120 raw_formation_energy_kj_per_mol_atoms=-43 pbc="T T T"
I 0.0000 0.0000 2.9312
K 2.0305 2.0305 2.9312
Os 0.0000 0.0000 0.0000
O 0.0000 2.0305 0.0000
O 2.0305 0.0000 0.0000

9
Lattice="0.0176 6.8992 1.9669 -7.5413 2.1103 -2.1853 -5.7560 -0.1537 5.7398" Properties=species:S:1:pos:R:3 comment="Rb2CeI4Br2 (PBE, relaxed)" m_tot_mub_per_atom=0.000 raw_formation_energy_kj_per_mol_atoms=-139 pbc="T T T"
Rb -8.8933 2.9919 2.8581
Rb -4.3864 5.8639 2.6633
Ce 0.0088 3.4496 0.9835
I -5.8312 3.4006 0.0915
I -8.3213 6.5620 1.5556
I -7.4485 5.4552 5.4299
I -4.9584 2.2939 3.9658
Br -2.1642 1.7061 0.9749
Br -11.1155 7.1497 4.5465

3
Lattice="-1.5563 2.1527 4.1961 -4.8616 0.5342 0.8617 -2.2127 -2.7226 3.5149" Properties=species:S:1:pos:R:3 comment="NaScSn (PBE, relaxed)" m_tot_mub_per_atom=0.000 delta_e_f_mev_per_atom=-178 pbc="T T T"
Sc -6.4730 -0.0267 6.4295
Na -2.1577 -0.0089 2.1432
Sn -4.3153 -0.0178 4.2863

Per-record raw total energy, eV/atom: -2.407 -2.168 -6.985 -5.242 -7.140 -5.204 -3.378 -4.063